# 1
FeRe3B (GGA-PBE, relaxed); calculated volume = 83 Å³ per cell; total moment = 0.00 μB/f.u.; space group = No. 221; uncorrected energy = -40.45 eV for the cell shown; polymorph energy (0 for the lowest one) = 2435 meV per atom
1.0
4.362 0.000 0.000
0.000 4.362 0.000
0.000 0.000 4.362
Fe Re B
1 3 1
Cartesian
0.000 0.000 0.000
0.000 0.000 2.181
0.000 2.181 0.000
2.181 0.000 0.000
2.181 2.181 2.181

***

# 2
Fe21Re2B6 (GGA-PBE, relaxed); calculated volume = 295 Å³ per cell; total moment = 36.63 μB/f.u.; space group = No. 225; uncorrected energy = -248.39 eV for the cell shown
1.0
0.000 5.286 5.286
5.286 0.000 5.286
5.286 5.286 0.000
Fe Re B
21 2 6
Cartesian
0.000 0.000 0.000
1.809 1.809 0.000
3.477 3.477 0.000
1.809 0.000 1.809
5.286 3.477 1.809
3.477 0.000 3.477
5.286 1.809 3.477
6.540 4.031 4.031
0.000 1.809 1.809
3.477 5.286 1.809
3.477 1.809 5.286
4.031 4.031 4.031
6.540 6.540 4.031
6.540 4.031 6.540
4.031 6.540 4.031
4.031 4.031 6.540
6.540 6.540 6.540
0.000 3.477 3.477
1.809 5.286 3.477
1.809 3.477 5.286
4.031 6.540 6.540
2.643 2.643 2.643
7.929 7.929 7.929
5.286 5.286 2.924
5.286 2.924 5.286
7.647 5.286 5.286
2.924 5.286 5.286
5.286 7.647 5.286
5.286 5.286 7.647

***

# 3
Fe3Re2B2 (GGA-PBE, relaxed); calculated volume = 152 Å³ per cell; total moment = 7.45 μB/f.u.; space group = No. 65; uncorrected energy = -128.55 eV for the cell shown
1.0
3.011 0.000 0.000
0.000 16.636 0.000
0.000 0.000 3.040
Fe Re B
6 4 4
Cartesian
0.000 0.000 0.000
0.000 7.022 1.520
0.000 9.614 1.520
1.506 1.296 1.520
1.506 8.318 0.000
1.506 15.340 1.520
0.000 2.913 0.000
0.000 13.723 0.000
1.506 5.405 0.000
1.506 11.231 0.000
0.000 4.698 1.520
0.000 11.939 1.520
1.506 3.620 1.520
1.506 13.016 1.520

***

# 4
FeRe2B (GGA-PBE, relaxed); calculated volume = 217 Å³ per cell; total moment = 0.01 μB/f.u.; space group = No. 122; uncorrected energy = -145.99 eV for the cell shown
1.0
3.707 0.000 0.000
0.000 3.707 0.000
0.000 0.000 15.769
Fe Re B
4 8 4
Cartesian
0.000 0.000 0.000
0.000 1.853 3.942
1.853 0.000 11.827
1.853 1.853 7.884
0.786 0.927 9.855
0.927 2.639 13.798
0.927 2.921 5.913
1.067 0.927 1.971
2.639 2.780 1.971
2.780 0.786 5.913
2.780 1.067 13.798
2.921 2.780 9.855
0.000 0.000 7.884
0.000 1.853 11.827
1.853 0.000 3.942
1.853 1.853 0.000